(1)
{"formula": "Ho2PaCl", "functional": "PBE", "state": "relaxed", "dft_energy_ev_per_fu": -21.66, "n_ef_per_ev_cell": 11.3, "spacegroup": "R-3m (166)", "crystal_system": "trigonal", "lattice": [[3.272, 0.000, 0.000], [-1.636, 2.833, 0.000], [0.000, 0.000, 33.010]], "species": ["Ho", "Ho", "Ho", "Ho", "Ho", "Ho", "Pa", "Pa", "Pa", "Cl", "Cl", "Cl"], "fractional_positions": [[0.000, 0.000, 0.098], [0.000, 0.000, 0.902], [0.333, 0.667, 0.568], [0.333, 0.667, 0.765], [0.667, 0.333, 0.235], [0.667, 0.333, 0.432], [0.000, 0.000, 0.000], [0.333, 0.667, 0.667], [0.667, 0.333, 0.333], [0.000, 0.000, 0.500], [0.333, 0.667, 0.167], [0.667, 0.333, 0.833]]}

=====

(2)
{"formula": "HoPaCl6", "functional": "PBE", "state": "relaxed", "dft_energy_ev_per_fu": -40.54, "n_ef_per_ev_cell": 10.7, "spacegroup": "R-3 (148)", "crystal_system": "trigonal", "lattice": [[3.442, 1.987, 6.263], [-3.442, 1.987, 6.263], [0.000, -3.975, 6.263]], "species": ["Ho", "Pa", "Cl", "Cl", "Cl", "Cl", "Cl", "Cl"], "fractional_positions": [[0.000, 0.000, 0.000], [0.500, 0.500, 0.500], [0.100, 0.386, 0.758], [0.242, 0.900, 0.614], [0.386, 0.758, 0.100], [0.614, 0.242, 0.900], [0.758, 0.100, 0.386], [0.900, 0.614, 0.242]]}

=====

(3)
{"formula": "HoPbCl5", "functional": "PBE", "state": "relaxed", "dft_energy_ev_per_fu": -29.76, "n_ef_per_ev_cell": 0.0, "spacegroup": "C2/c (15)", "crystal_system": "monoclinic", "lattice": [[5.084, -5.133, 0.000], [5.084, 5.133, 0.000], [-4.602, 0.000, 9.232]], "species": ["Ho", "Ho", "Pb", "Pb", "Cl", "Cl", "Cl", "Cl", "Cl", "Cl", "Cl", "Cl", "Cl", "Cl"], "fractional_positions": [[0.000, 0.500, 0.000], [0.500, 0.000, 0.500], [0.088, 0.912, 0.750], [0.912, 0.088, 0.250], [0.196, 0.608, 0.856], [0.222, 0.222, 0.029], [0.222, 0.222, 0.529], [0.233, 0.767, 0.250], [0.392, 0.804, 0.644], [0.608, 0.196, 0.356], [0.767, 0.233, 0.750], [0.778, 0.778, 0.471], [0.778, 0.778, 0.971], [0.804, 0.392, 0.144]]}

=====

(4)
{"formula": "RbHoPb2Cl8", "functional": "PBE", "state": "relaxed", "dft_energy_ev_per_fu": -47.66, "n_ef_per_ev_cell": 0.0, "spacegroup": "P2/m (10)", "crystal_system": "monoclinic", "lattice": [[6.583, 0.000, 0.000], [0.000, 9.009, 0.000], [-0.129, 0.000, 6.855]], "species": ["Rb", "Ho", "Pb", "Pb", "Cl", "Cl", "Cl", "Cl", "Cl", "Cl", "Cl", "Cl"], "fractional_positions": [[0.000, 0.000, 0.000], [0.000, 0.500, 0.000], [0.500, 0.251, 0.500], [0.500, 0.749, 0.500], [0.231, 0.292, 0.159], [0.231, 0.708, 0.159], [0.243, 0.500, 0.690], [0.276, 0.000, 0.624], [0.724, 0.000, 0.376], [0.757, 0.500, 0.310], [0.769, 0.292, 0.841], [0.769, 0.708, 0.841]]}

=====

(5)
{"formula": "RbHoPbCl6", "functional": "PBE", "state": "relaxed", "dft_energy_ev_per_fu": -37.26, "n_ef_per_ev_cell": 0.0, "spacegroup": "P312 (149)", "crystal_system": "trigonal", "lattice": [[7.328, 0.000, 0.000], [-3.664, 6.346, 0.000], [0.000, 0.000, 7.092]], "species": ["Rb", "Ho", "Pb", "Cl", "Cl", "Cl", "Cl", "Cl", "Cl"], "fractional_positions": [[0.000, 0.000, 0.000], [0.667, 0.333, 0.500], [0.333, 0.667, 0.500], [0.383, 0.027, 0.715], [0.383, 0.356, 0.285], [0.644, 0.027, 0.285], [0.644, 0.617, 0.715], [0.973, 0.356, 0.715], [0.973, 0.617, 0.285]]}

=====

(6)
{"formula": "HoTlPbCl6", "functional": "PBE", "state": "relaxed", "dft_energy_ev_per_fu": -36.64, "n_ef_per_ev_cell": 0.0, "spacegroup": "P-31c (163)", "crystal_system": "trigonal", "lattice": [[7.329, 0.000, 0.000], [-3.664, 6.347, 0.000], [0.000, 0.000, 13.496]], "species": ["Ho", "Ho", "Tl", "Tl", "Pb", "Pb", "Cl", "Cl", "Cl", "Cl", "Cl", "Cl", "Cl", "Cl", "Cl", "Cl", "Cl", "Cl"], "fractional_positions": [[0.333, 0.667, 0.250], [0.667, 0.333, 0.750], [0.000, 0.000, 0.000], [0.000, 0.000, 0.500], [0.333, 0.667, 0.750], [0.667, 0.333, 0.250], [0.028, 0.381, 0.137], [0.028, 0.647, 0.363], [0.353, 0.381, 0.363], [0.353, 0.972, 0.137], [0.381, 0.028, 0.637], [0.381, 0.353, 0.863], [0.619, 0.647, 0.137], [0.619, 0.972, 0.363], [0.647, 0.028, 0.863], [0.647, 0.619, 0.637], [0.972, 0.353, 0.637], [0.972, 0.619, 0.863]]}

=====

(7)
{"formula": "HoPdCl", "functional": "PBE", "state": "relaxed", "dft_energy_ev_per_fu": -14.25, "n_ef_per_ev_cell": 10.8, "spacegroup": "Amm2 (38)", "crystal_system": "orthorhombic", "lattice": [[12.188, 0.000, 0.000], [0.000, 3.696, 0.000], [0.000, 0.000, 6.402]], "species": ["Ho", "Ho", "Ho", "Ho", "Pd", "Pd", "Pd", "Pd", "Cl", "Cl", "Cl", "Cl"], "fractional_positions": [[0.155, 0.000, 0.000], [0.155, 0.500, 0.500], [0.845, 0.000, 0.000], [0.845, 0.500, 0.500], [0.000, 0.000, 0.667], [0.000, 0.500, 0.167], [0.500, 0.000, 0.668], [0.500, 0.500, 0.168], [0.307, 0.000, 0.667], [0.307, 0.500, 0.167], [0.693, 0.000, 0.667], [0.693, 0.500, 0.167]]}

=====

(8)
{"formula": "HoPdCl6", "functional": "PBE", "state": "relaxed", "dft_energy_ev_per_fu": -30.56, "n_ef_per_ev_cell": 0.9, "spacegroup": "P-1 (2)", "crystal_system": "triclinic", "lattice": [[6.275, 0.000, 0.000], [2.894, 5.634, 0.000], [0.034, 3.527, 5.781]], "species": ["Ho", "Pd", "Cl", "Cl", "Cl", "Cl", "Cl", "Cl"], "fractional_positions": [[0.000, 0.000, 0.000], [0.500, 0.000, 0.500], [0.097, 0.493, 0.250], [0.274, 0.829, 0.742], [0.422, 0.847, 0.264], [0.578, 0.153, 0.736], [0.726, 0.171, 0.258], [0.903, 0.507, 0.750]]}

=====

(9)
{"formula": "Rb2HoPdCl6", "functional": "PBE", "state": "relaxed", "dft_energy_ev_per_fu": -39.66, "n_ef_per_ev_cell": 6.9, "spacegroup": "Pmmn (59)", "crystal_system": "orthorhombic", "lattice": [[7.623, 0.000, 0.000], [0.000, 10.244, 0.000], [0.000, 0.000, 7.623]], "species": ["Rb", "Rb", "Rb", "Rb", "Ho", "Ho", "Pd", "Pd", "Cl", "Cl", "Cl", "Cl", "Cl", "Cl", "Cl", "Cl", "Cl", "Cl", "Cl", "Cl"], "fractional_positions": [[0.250, 0.000, 0.250], [0.250, 0.500, 0.250], [0.750, 0.000, 0.750], [0.750, 0.500, 0.750], [0.250, 0.250, 0.750], [0.750, 0.750, 0.250], [0.250, 0.750, 0.750], [0.750, 0.250, 0.250], [0.007, 0.250, 0.507], [0.007, 0.250, 0.992], [0.250, 0.506, 0.750], [0.250, 0.994, 0.750], [0.493, 0.250, 0.507], [0.493, 0.250, 0.992], [0.507, 0.750, 0.008], [0.507, 0.750, 0.493], [0.750, 0.006, 0.250], [0.750, 0.494, 0.250], [0.993, 0.750, 0.008], [0.993, 0.750, 0.493]]}

=====

(10)
{"formula": "Ho3TePdCl", "functional": "PBE", "state": "relaxed", "dft_energy_ev_per_fu": -30.58, "n_ef_per_ev_cell": 9.9, "spacegroup": "P2_1/m (11)", "crystal_system": "monoclinic", "lattice": [[8.496, 0.000, 0.000], [0.000, 4.078, 0.000], [-1.126, 0.000, 9.645]], "species": ["Ho", "Ho", "Ho", "Ho", "Ho", "Ho", "Te", "Te", "Pd", "Pd", "Cl", "Cl"], "fractional_positions": [[0.137, 0.250, 0.310], [0.144, 0.250, 0.908], [0.305, 0.750, 0.619], [0.695, 0.250, 0.381], [0.856, 0.750, 0.092], [0.863, 0.750, 0.690], [0.412, 0.750, 0.318], [0.588, 0.250, 0.682], [0.062, 0.250, 0.604], [0.938, 0.750, 0.396], [0.353, 0.750, 0.914], [0.647, 0.250, 0.086]]}

=====

(11)
{"formula": "Pm2HoCl8", "functional": "PBE", "state": "relaxed", "dft_energy_ev_per_fu": -50.88, "n_ef_per_ev_cell": 4.0, "spacegroup": "C2/m (12)", "crystal_system": "monoclinic", "lattice": [[4.133, -6.198, 0.000], [4.133, 6.198, 0.000], [-1.786, 0.000, 5.498]], "species": ["Pm", "Pm", "Ho", "Cl", "Cl", "Cl", "Cl", "Cl", "Cl", "Cl", "Cl"], "fractional_positions": [[0.191, 0.809, 0.000], [0.809, 0.191, 0.000], [0.500, 0.500, 0.500], [0.148, 0.148, 0.314], [0.162, 0.423, 0.896], [0.285, 0.715, 0.500], [0.423, 0.162, 0.896], [0.577, 0.838, 0.104], [0.715, 0.285, 0.500], [0.838, 0.577, 0.104], [0.852, 0.852, 0.686]]}

=====

(12)
{"formula": "PmHo2Cl", "functional": "PBE", "state": "relaxed", "dft_energy_ev_per_fu": -17.23, "n_ef_per_ev_cell": 20.3, "spacegroup": "R-3m (166)", "crystal_system": "trigonal", "lattice": [[3.435, 0.000, 0.000], [-1.718, 2.975, 0.000], [0.000, 0.000, 33.488]], "species": ["Pm", "Pm", "Pm", "Ho", "Ho", "Ho", "Ho", "Ho", "Ho", "Cl", "Cl", "Cl"], "fractional_positions": [[0.000, 0.000, 0.000], [0.333, 0.667, 0.667], [0.667, 0.333, 0.333], [0.000, 0.000, 0.101], [0.000, 0.000, 0.899], [0.333, 0.667, 0.566], [0.333, 0.667, 0.768], [0.667, 0.333, 0.232], [0.667, 0.333, 0.434], [0.000, 0.000, 0.500], [0.333, 0.667, 0.167], [0.667, 0.333, 0.833]]}

=====

(13)
{"formula": "PmHoCl6", "functional": "PBE", "state": "relaxed", "dft_energy_ev_per_fu": -38.41, "n_ef_per_ev_cell": 0.0, "spacegroup": "C2/m (12)", "crystal_system": "monoclinic", "lattice": [[6.722, 0.000, 0.000], [0.000, 12.640, 0.000], [-1.821, 0.000, 6.459]], "species": ["Pm", "Pm", "Ho", "Ho", "Cl", "Cl", "Cl", "Cl", "Cl", "Cl", "Cl", "Cl", "Cl", "Cl", "Cl", "Cl"], "fractional_positions": [[0.000, 0.000, 0.000], [0.500, 0.500, 0.000], [0.000, 0.500, 0.500], [0.500, 0.000, 0.500], [0.241, 0.359, 0.743], [0.241, 0.641, 0.743], [0.248, 0.500, 0.256], [0.252, 0.000, 0.744], [0.259, 0.141, 0.257], [0.259, 0.859, 0.257], [0.741, 0.141, 0.743], [0.741, 0.859, 0.743], [0.748, 0.000, 0.256], [0.752, 0.500, 0.744], [0.759, 0.359, 0.257], [0.759, 0.641, 0.257]]}

=====

(14)
{"formula": "PmHoCl", "functional": "PBE", "state": "relaxed", "dft_energy_ev_per_fu": -13.88, "n_ef_per_ev_cell": 3.4, "spacegroup": "P3m1 (156)", "crystal_system": "trigonal", "lattice": [[3.701, 0.000, 0.000], [-1.850, 3.205, 0.000], [0.000, 0.000, 7.123]], "species": ["Pm", "Ho", "Cl"], "fractional_positions": [[0.000, 0.000, 0.000], [0.333, 0.667, 0.618], [0.667, 0.333, 0.323]]}

=====

(15)
{"formula": "PmHoCl", "functional": "PBE", "state": "relaxed", "dft_energy_ev_per_fu": -13.86, "n_ef_per_ev_cell": 7.1, "spacegroup": "P2_1/m (11)", "crystal_system": "monoclinic", "lattice": [[6.456, 0.000, 0.000], [0.000, 3.710, 0.000], [-0.022, 0.000, 7.074]], "species": ["Pm", "Pm", "Ho", "Ho", "Cl", "Cl"], "fractional_positions": [[0.084, 0.250, 0.303], [0.916, 0.750, 0.697], [0.418, 0.250, 0.687], [0.582, 0.750, 0.313], [0.264, 0.750, 0.994], [0.736, 0.250, 0.006]]}

=====

(16)
{"formula": "PmHoCl3", "functional": "PBE", "state": "relaxed", "dft_energy_ev_per_fu": -24.04, "spacegroup": "C2/m (12)", "crystal_system": "monoclinic", "lattice": [[8.025, -1.935, 0.000], [8.025, 1.935, 0.000], [-5.353, 0.000, 9.231]], "species": ["Pm", "Pm", "Ho", "Ho", "Cl", "Cl", "Cl", "Cl", "Cl", "Cl"], "fractional_positions": [[0.140, 0.140, 0.291], [0.860, 0.860, 0.709], [0.416, 0.416, 0.046], [0.584, 0.584, 0.954], [0.047, 0.047, 0.751], [0.222, 0.222, 0.114], [0.342, 0.342, 0.493], [0.658, 0.658, 0.507], [0.778, 0.778, 0.886], [0.953, 0.953, 0.249]]}

=====

(17)
{"formula": "PmHoCl6", "functional": "PBE", "state": "relaxed", "dft_energy_ev_per_fu": -38.39, "n_ef_per_ev_cell": 0.0, "spacegroup": "R-3 (148)", "crystal_system": "trigonal", "lattice": [[3.407, 1.967, 6.194], [-3.407, 1.967, 6.194], [0.000, -3.934, 6.194]], "species": ["Pm", "Ho", "Cl", "Cl", "Cl", "Cl", "Cl", "Cl"], "fractional_positions": [[0.000, 0.000, 0.000], [0.500, 0.500, 0.500], [0.110, 0.400, 0.744], [0.256, 0.890, 0.600], [0.400, 0.744, 0.110], [0.600, 0.256, 0.890], [0.744, 0.110, 0.400], [0.890, 0.600, 0.256]]}

=====

(18)
{"formula": "PmHoSe2Cl", "functional": "PBE", "state": "relaxed", "dft_energy_ev_per_fu": -27.44, "n_ef_per_ev_cell": 3.2, "spacegroup": "P4/nmm (129)", "crystal_system": "tetragonal", "lattice": [[4.148, 0.000, 0.000], [0.000, 4.148, 0.000], [0.000, 0.000, 14.032]], "species": ["Pm", "Pm", "Ho", "Ho", "Se", "Se", "Se", "Se", "Cl", "Cl"], "fractional_positions": [[0.250, 0.250, 0.146], [0.750, 0.750, 0.854], [0.250, 0.250, 0.590], [0.750, 0.750, 0.410], [0.250, 0.250, 0.383], [0.250, 0.250, 0.794], [0.750, 0.750, 0.206], [0.750, 0.750, 0.617], [0.250, 0.750, 0.000], [0.750, 0.250, 0.000]]}

=====

(19)
{"formula": "PrHoCl3", "functional": "PBE", "state": "relaxed", "dft_energy_ev_per_fu": -24.05, "spacegroup": "C2/m (12)", "crystal_system": "monoclinic", "lattice": [[8.022, -1.948, 0.000], [8.022, 1.948, 0.000], [-5.347, 0.000, 9.382]], "species": ["Pr", "Pr", "Ho", "Ho", "Cl", "Cl", "Cl", "Cl", "Cl", "Cl"], "fractional_positions": [[0.141, 0.141, 0.291], [0.859, 0.859, 0.709], [0.415, 0.415, 0.046], [0.585, 0.585, 0.954], [0.050, 0.050, 0.756], [0.222, 0.222, 0.111], [0.344, 0.344, 0.492], [0.656, 0.656, 0.508], [0.778, 0.778, 0.889], [0.950, 0.950, 0.244]]}

=====

(20)
{"formula": "PrHoCl2", "functional": "PBE", "state": "relaxed", "dft_energy_ev_per_fu": -18.43, "n_ef_per_ev_cell": 3.7, "spacegroup": "R-3m (166)", "crystal_system": "trigonal", "lattice": [[3.661, 0.000, 0.000], [-1.831, 3.171, 0.000], [0.000, 0.000, 28.664]], "species": ["Pr", "Pr", "Pr", "Ho", "Ho", "Ho", "Cl", "Cl", "Cl", "Cl", "Cl", "Cl"], "fractional_positions": [[0.000, 0.000, 0.000], [0.333, 0.667, 0.667], [0.667, 0.333, 0.333], [0.000, 0.000, 0.500], [0.333, 0.667, 0.167], [0.667, 0.333, 0.833], [0.000, 0.000, 0.407], [0.000, 0.000, 0.593], [0.333, 0.667, 0.073], [0.333, 0.667, 0.260], [0.667, 0.333, 0.740], [0.667, 0.333, 0.927]]}